Material: Mg2TlPb
Method: DFT, PBEsol
State: relaxed

Cell lengths 5.934, 5.934, 3.366 Å; angles 102.78, 102.78, 111.09 degrees
Positions (direct):
Mg 0.000 0.500 0.000
Mg 0.500 0.000 0.000
Tl 0.000 0.000 0.500
Pb 0.500 0.500 0.500

Calculated values
Energy of formation from the pure elements (kJ/mol of formula units): -6.2
ρ (g/cm³): 7.5
Electronic total energy (eV per atom): -2.5317
Size of the total moment (μB/f.u.): 0.000